(1)
Crystalline TlCdIn2 at its relaxed geometry. Source: Alexandria, functional GGA-PBE.

The calculation puts the density at 8.32 Mg/m³.

It has space group P3m1 (No. 156), with a = 3.3789 Å, b = 3.3789 Å, c = 11.0277 Å, α = 90.00°, β = 90.00° and γ = 120.00°. Symmetry generates all atoms from Tl at (0.0000, 0.0000, 0.0000), Cd at (0.3333, 0.6667, 0.4829), In at (0.0000, 0.0000, 0.7154) and In at (0.6667, 0.3333, 0.2529).

***

(2)
Crystalline Tl3Cd3In2 at its relaxed geometry. Source: Alexandria, functional GGA-PBE.

The calculation puts the density at 9.02 Mg/m³.

It has space group Pmmm (No. 47), with a = 4.691 Å, b = 4.808 Å, c = 9.628 Å, α = 90.00°, β = 90.00° and γ = 90.00°. Symmetry generates all atoms from Tl at (0.000, 0.000, 0.000), Tl at (0.000, 0.500, 0.257), Cd at (0.000, 0.000, 0.500), Cd at (0.500, 0.500, 0.000), Cd at (0.500, 0.500, 0.500) and In at (0.500, 0.000, 0.266).

***

(3)
Crystalline Tl6CdIn12 at its relaxed geometry. Source: Alexandria, functional GGA-PBE.

The calculation puts the density at 8.19 Mg/m³.

It has space group R-3 (No. 148, hexagonal axes), with a = 12.9648 Å, b = 12.9648 Å, c = 11.3534 Å, α = 90.00°, β = 90.00° and γ = 120.00°. Symmetry generates all atoms from Tl at (0.0745, 0.1722, 0.2524), Cd at (0.0000, 0.0000, 0.5000), In at (0.0079, 0.2577, 0.5081) and In at (0.0622, 0.5194, 0.6217).

***

(4)
Crystalline TlCd6In12 at its relaxed geometry. Source: Alexandria, functional GGA-PBE.

The calculation puts the density at 7.18 Mg/m³.

It has space group Im-3 (No. 204), with a = 10.145 Å, b = 10.145 Å, c = 10.145 Å, α = 90.00°, β = 90.00° and γ = 90.00°. Symmetry generates all atoms from Tl at (0.000, 0.000, 0.000), Cd at (0.000, 0.141, 0.500) and In at (0.000, 0.262, 0.194).

***

(5)
Crystalline Tl2CdIn4 at its relaxed geometry. Source: Alexandria, functional GGA-PBE.

As for the offset from the most stable computed form: 0 meV/atom. The calculation puts the density at 8.27 Mg/m³.

It has space group Cmmm (No. 65), with a = 3.395 Å, b = 32.840 Å, c = 3.532 Å, α = 90.00°, β = 90.00° and γ = 90.00°. Symmetry generates all atoms from Tl at (0.000, 0.205, 0.000), Cd at (0.000, 0.500, 0.500), In at (0.000, 0.065, 0.000) and In at (0.000, 0.367, 0.500).

***

(6)
Crystalline Tl3Cd3In at its relaxed geometry. Source: Alexandria, functional GGA-PBE.

As for the offset from the most stable computed form: 0 meV/atom. The calculation puts the density at 9.12 Mg/m³.

It has space group P6_3/m (No. 176), with a = 9.2706 Å, b = 9.2706 Å, c = 5.2136 Å, α = 90.00°, β = 90.00° and γ = 120.00°. Symmetry generates all atoms from Tl at (0.1299, 0.8663, 0.2500), Cd at (0.1005, 0.5521, 0.7500) and In at (0.3333, 0.6667, 0.2500).

***

no.,ΔH_f (0 K) (eV/atom)
1,0.04
2,0.04
3,0.05
4,0.08
5,0.04
6,0.06